1.
VASP calculation (GGA-PBE) on crystalline NpAl2Ga at its relaxed geometry.

```
NpAl2Ga
1.0
-0.193 -2.868 -3.160
4.229 -0.406 0.110
-0.374 -3.124 2.857
Al Ga Np
2 1 1
direct
0.000 0.000 0.500
0.000 0.500 0.000
0.500 0.000 0.000
0.500 0.500 0.500
```

Properties
Relative energy among the computed polymorphs   0 meV per atom
Formation energy from the elements   -0.127 eV per atom

2.
VASP calculation (GGA-PBE) on crystalline NpAl2Ga4 at its relaxed geometry.

```
NpAl2Ga4
1.0
-0.543 4.496 0.033
-0.957 -0.083 -4.426
-6.408 -0.784 1.400
Ga Al Np
4 2 1
direct
0.500 0.000 0.713
0.000 0.500 0.287
0.500 0.000 0.287
0.000 0.500 0.713
0.000 0.000 0.000
0.500 0.500 0.500
0.500 0.500 0.000
```

Properties
Formation energy from the elements   -0.122 eV per atom

3.
VASP calculation (GGA-PBE) on crystalline Np2Al5Ga4 at its relaxed geometry.

```
Np2Al5Ga4
1.0
2.992 0.000 0.000
0.000 7.887 -1.884
0.000 -1.943 9.033
Al Np Ga
5 2 4
direct
0.000 0.513 0.706
0.000 0.500 0.000
0.000 0.487 0.294
0.000 0.881 0.834
0.000 0.119 0.166
0.000 0.103 0.639
0.000 0.897 0.361
0.500 0.797 0.037
0.500 0.722 0.556
0.500 0.203 0.963
0.500 0.278 0.444
```

Properties
Formation energy from the elements   0.088 eV per atom

4.
VASP calculation (GGA-PBE) on crystalline NpAl2Ga at its relaxed geometry.

```
NpAl2Ga
1.0
-2.103 -3.416 -3.823
-2.532 -2.035 3.211
-4.196 1.550 0.923
Ga Al Np
1 2 1
direct
0.500 0.667 0.667
0.500 0.333 0.333
0.500 0.000 0.000
0.000 0.000 0.000
```

Properties
Relative energy among the computed polymorphs   791 meV per atom
Formation energy from the elements   0.664 eV per atom

5.
VASP calculation (GGA-PBE) on crystalline NpAlGa at its relaxed geometry.

```
NpAlGa
1.0
2.905 0.000 0.000
0.000 4.753 0.000
0.000 -2.377 4.116
Np Al Ga
1 1 1
direct
0.333 0.667 0.333
0.833 0.333 0.667
0.834 0.000 0.000
```

Properties
Formation energy from the elements   -0.129 eV per atom

6.
VASP calculation (GGA-PBE) on crystalline Np2Al3Ga2 at its relaxed geometry.

```
Np2Al3Ga2
1.0
-3.755 1.652 2.270
-1.674 -1.068 -1.991
-2.533 -7.736 6.280
Al Np Ga
3 2 2
direct
0.716 0.000 0.568
0.284 0.000 0.432
0.000 0.000 0.000
0.143 0.500 0.715
0.857 0.500 0.285
0.428 0.000 0.144
0.572 0.000 0.856
```

Properties
Formation energy from the elements   -0.118 eV per atom

7.
VASP calculation (GGA-PBE) on crystalline Np2AlGa8 at its relaxed geometry.

```
Np2AlGa8
1.0
4.436 0.000 0.000
0.000 4.436 0.000
0.000 0.000 10.886
Ga Np Al
8 2 1
direct
0.000 0.500 0.130
0.500 0.000 0.500
0.500 0.000 0.130
0.500 0.500 0.311
0.000 0.500 0.870
0.500 0.500 0.689
0.500 0.000 0.870
0.000 0.500 0.500
0.000 0.000 0.310
0.000 0.000 0.690
0.000 0.000 0.000
```

Properties
Formation energy from the elements   -0.151 eV per atom

8.
VASP calculation (GGA-PBE) on crystalline Np2AlGa3 at its relaxed geometry.

```
Np2AlGa3
1.0
-2.278 5.114 0.550
-2.538 -4.470 2.284
4.275 1.150 7.002
Ga Np Al
6 4 2
direct
0.176 0.353 0.250
0.647 0.824 0.250
0.824 0.176 0.750
0.176 0.824 0.250
0.824 0.647 0.750
0.353 0.176 0.750
0.333 0.667 0.591
0.667 0.333 0.091
0.333 0.667 0.909
0.667 0.333 0.409
0.000 0.000 0.500
0.000 0.000 0.000
```

Properties
Formation energy from the elements   -0.203 eV per atom

9.
VASP calculation (GGA-PBE) on crystalline NpAlGa2 at its relaxed geometry.

```
NpAlGa2
1.0
4.213 0.000 0.000
0.000 4.285 0.000
0.000 0.000 4.285
Al Np Ga
1 1 2
direct
0.500 0.000 0.000
0.500 0.500 0.500
0.000 0.500 0.000
0.000 0.000 0.500
```

Properties
Formation energy from the elements   -0.162 eV per atom

10.
VASP calculation (GGA-PBE) on crystalline Np3Al2Ga3 at its relaxed geometry.

```
Np3Al2Ga3
1.0
-0.938 -1.220 4.704
-0.504 -3.956 -3.730
11.621 -2.946 1.553
Np Ga Al
6 6 4
direct
0.783 0.566 0.250
0.928 0.855 0.412
0.072 0.145 0.588
0.217 0.434 0.750
0.928 0.855 0.088
0.072 0.145 0.912
0.472 0.945 0.250
0.613 0.226 0.444
0.387 0.774 0.556
0.613 0.226 0.056
0.387 0.774 0.944
0.528 0.055 0.750
0.764 0.528 0.873
0.236 0.472 0.127
0.236 0.472 0.373
0.764 0.528 0.627
```

Properties
Formation energy from the elements   -0.006 eV per atom

11.
VASP calculation (GGA-PBE) on crystalline NpAlGa2 at its relaxed geometry.

```
NpAlGa2
1.0
5.522 0.000 0.000
0.000 3.975 2.295
0.000 0.000 4.590
Ga Al Np
2 1 1
direct
0.500 0.333 0.333
0.500 0.000 0.000
0.500 0.667 0.667
0.000 0.000 0.000
```

Properties
Formation energy from the elements   0.603 eV per atom

12.
VASP calculation (GGA-PBE) on crystalline NpAlGa at its relaxed geometry.

```
NpAlGa
1.0
-0.680 -2.131 1.482
2.477 -0.074 1.029
-2.956 5.419 4.006
Al Np Ga
1 1 1
direct
0.331 0.331 0.662
0.998 0.998 0.995
0.671 0.671 0.342
```

Properties
Formation energy from the elements   0.074 eV per atom

Summary of size of the total moment in μB per formula unit
4.0; 4.1; 5.0; 5.0; 3.7; 7.4; 8.6; 7.7; 3.9; 0.1; 4.9; 0.0
(order as listed above)